<P>
An optimized crystal structure of RbGaI2N, computed with PBE.

Its crystal system is tetragonal. Its density of states at the Fermi level is 5.31 states/eV per cell.

a b c (Å): 6.5745 6.5745 3.5555
angles (deg): 90.00 90.00 90.00
Last column: nearest neighbours and their distance in Å.
Sites, in units of the cell vectors:
N: 0.0000 0.0000 0.5000  2 Ga 1.78
I: 0.5000 0.0000 0.0000  2 Ga 3.29, 2 I 3.56
Ga: 0.0000 0.0000 0.0000  2 N 1.78
Rb: 0.5000 0.5000 0.5000  2 Rb 3.56, 8 I 3.74
I: 0.0000 0.5000 0.0000  2 Ga 3.29, 2 I 3.56

***

<Q>
An optimized crystal structure of RbGaI2N, computed with PBE.

Its crystal system is tetragonal. Its density of states at the Fermi level is 2.76 states/eV per cell.

a b c (Å): 6.8331 6.8331 5.5347
angles (deg): 90.00 90.00 90.00
Last column: nearest neighbours and their distance in Å.
Sites, in units of the cell vectors:
N: 0.0000 0.0000 0.5000  2 Rb 2.77
Rb: 0.0000 0.0000 0.0000  2 N 2.77
Ga: 0.5000 0.5000 0.5000  8 I 4.40, 4 N 4.83
I: 0.5000 0.0000 0.0000  2 Rb 3.42
I: 0.0000 0.5000 0.0000  2 Rb 3.42

***

On energetic grounds, <P> is preferred over the next structure by 0.768 eV/atom.

***

<P>
An optimized crystal structure of GaRhIN2, computed with PBE.

Its crystal system is tetragonal. Its density of states at the Fermi level is 3.25 states/eV per cell.

a b c (Å): 3.8989 3.8989 7.7052
angles (deg): 90.00 90.00 90.00
Last column: nearest neighbours and their distance in Å.
Sites, in units of the cell vectors:
N: 0.0000 0.5000 0.0000  2 Rh 1.95
Rh: 0.0000 0.0000 0.0000  4 N 1.95
N: 0.5000 0.0000 0.0000  2 Rh 1.95
Ga: 0.5000 0.5000 0.5000  4 I 2.76
I: 0.0000 0.0000 0.5000  4 Ga 2.76

***

<Q>
An optimized crystal structure of GaRhIN2, computed with PBE.

Its crystal system is tetragonal. Its density of states at the Fermi level is 4.41 states/eV per cell.

a b c (Å): 3.8252 3.8252 6.5858
angles (deg): 90.00 90.00 90.00
Last column: nearest neighbours and their distance in Å.
Sites, in units of the cell vectors:
I: 0.0000 0.0000 0.5000  4 Rh 2.70
N: 0.5000 0.0000 0.0000  2 Ga 1.91
Ga: 0.0000 0.0000 0.0000  4 N 1.91
N: 0.0000 0.5000 0.0000  2 Ga 1.91
Rh: 0.5000 0.5000 0.5000  4 I 2.70

***

On energetic grounds, <P> is preferred over the next structure by 0.360 eV/atom.

***

<P>
An optimized crystal structure of GaSIN2, computed with PBE.

Its crystal system is tetragonal. Its density of states at the Fermi level is 2.91 states/eV per cell.

a b c (Å): 3.8000 3.8000 6.9800
angles (deg): 90.00 90.00 90.00
Last column: nearest neighbours and their distance in Å.
Sites, in units of the cell vectors:
S: 0.0000 0.0000 0.0000  4 N 1.90
N: 0.0000 0.5000 0.0000  2 S 1.90
Ga: 0.5000 0.5000 0.5000  4 I 2.69
N: 0.5000 0.0000 0.0000  2 S 1.90
I: 0.0000 0.0000 0.5000  4 Ga 2.69

***

<Q>
An optimized crystal structure of GaSIN2, computed with PBE.

Its crystal system is tetragonal. Its density of states at the Fermi level is 3.64 states/eV per cell.

a b c (Å): 3.8484 3.8484 8.1135
angles (deg): 90.00 90.00 90.00
Last column: nearest neighbours and their distance in Å.
Sites, in units of the cell vectors:
N: 0.0000 0.5000 0.0000  2 Ga 1.92
Ga: 0.0000 0.0000 0.0000  4 N 1.92
I: 0.0000 0.0000 0.5000  4 S 2.72
N: 0.5000 0.0000 0.0000  2 Ga 1.92
S: 0.5000 0.5000 0.5000  4 I 2.72

***

<R>
An optimized crystal structure of GaSIN2, computed with PBE.

Its crystal system is tetragonal. Its density of states at the Fermi level is 1.55 states/eV per cell.

a b c (Å): 4.0240 4.0240 5.4783
angles (deg): 90.00 90.00 90.00
Last column: nearest neighbours and their distance in Å.
Sites, in units of the cell vectors:
Ga: 0.0000 0.0000 0.0000  4 N 2.01
N: 0.5000 0.0000 0.0000  2 Ga 2.01
S: 0.0000 0.0000 0.5000  2 Ga 2.74, 4 I 2.85
I: 0.5000 0.5000 0.5000  4 S 2.85
N: 0.0000 0.5000 0.0000  2 Ga 2.01

***

<S>
An optimized crystal structure of GaSIN2, computed with PBE.

Its crystal system is tetragonal. Its density of states at the Fermi level is 3.07 states/eV per cell.

a b c (Å): 3.9839 3.9839 5.6373
angles (deg): 90.00 90.00 90.00
Last column: nearest neighbours and their distance in Å.
Sites, in units of the cell vectors:
Ga: 0.5000 0.5000 0.5000  4 S 2.82
N: 0.0000 0.5000 0.0000  2 I 1.99
S: 0.0000 0.0000 0.5000  4 Ga 2.82, 2 I 2.82
N: 0.5000 0.0000 0.0000  2 I 1.99
I: 0.0000 0.0000 0.0000  4 N 1.99

***

On energetic grounds, <R> is preferred over the next structure by 0.055 eV/atom.

***

<P>
An optimized crystal structure of GaS2IN, computed with PBE.

Its crystal system is tetragonal. Its density of states at the Fermi level is 4.18 states/eV per cell.

a b c (Å): 5.0580 5.0580 3.6878
angles (deg): 90.00 90.00 90.00
Last column: nearest neighbours and their distance in Å.
Sites, in units of the cell vectors:
N: 0.0000 0.0000 0.5000  2 Ga 1.84
S: 0.0000 0.5000 0.0000  2 Ga 2.53
S: 0.5000 0.0000 0.0000  2 Ga 2.53
I: 0.5000 0.5000 0.5000  8 S 3.13
Ga: 0.0000 0.0000 0.0000  2 N 1.84

***

<Q>
An optimized crystal structure of GaS2IN, computed with PBE.

Its crystal system is tetragonal. Its density of states at the Fermi level is 5.45 states/eV per cell.

a b c (Å): 5.2386 5.2386 3.9982
angles (deg): 90.00 90.00 90.00
Last column: nearest neighbours and their distance in Å.
Sites, in units of the cell vectors:
Ga: 0.5000 0.5000 0.5000  8 S 3.30
S: 0.5000 0.0000 0.0000  2 I 2.62
S: 0.0000 0.5000 0.0000  2 I 2.62
I: 0.0000 0.0000 0.0000  2 N 2.00
N: 0.0000 0.0000 0.5000  2 I 2.00

***

On energetic grounds, <P> is preferred over the next structure by 0.287 eV/atom.